{
  "formula": "YTmCd",
  "functional": "PBE-GGA",
  "state": "relaxed",
  "lattice": [[0.0000, 3.5806, 3.5806], [3.5806, 0.0000, 3.5806], [3.5806, 3.5806, 0.0000]],
  "species": ["Y", "Tm", "Cd"],
  "fractional_positions": [[0.0000, 0.0000, 0.0000], [0.7500, 0.7500, 0.7500], [0.5000, 0.5000, 0.5000]],
  "mass_density_g_cm3": 6.70,
  "energy_ev_per_atom": -3.430,
  "volume_a3_per_atom": 30.60,
  "formation_enthalpy_0k_ev_per_atom": 0.515,
  "spacegroup": "F-43m, No. 216",
  "e_above_lowest_polymorph_kj_per_mol_fu": 0,
  "m_tot_mub_per_atom": 0.00,
  "crystal_system": "cubic"
}